No. 1
# YHoCoAu (PBE, relaxed)
data_YHoCoAu
_chemical_formula_sum 'Y4 Ho4 Co4 Au4'
_symmetry_space_group_name_H-M 'F -4 3 m'
_symmetry_Int_Tables_number 216
_symmetry_space_group_name_Hall 'F -4 2 3'
_cell_length_a 6.969
_cell_length_b 6.969
_cell_length_c 6.969
_cell_angle_alpha 90.00
_cell_angle_beta 90.00
_cell_angle_gamma 90.00
loop_
_atom_site_label
_atom_site_type_symbol
_atom_site_fract_x
_atom_site_fract_y
_atom_site_fract_z
_atom_site_occupancy
Y1 Y 0.000 0.000 0.000 1
Ho1 Ho 0.000 0.000 0.500 1
Co1 Co 0.250 0.250 0.750 1
Au1 Au 0.250 0.250 0.250 1
# Crystal system   cubic

=====

No. 2
# HoZrCoAu (PBE, relaxed)
data_HoZrCoAu
_chemical_formula_sum 'Ho4 Zr4 Co4 Au4'
_symmetry_space_group_name_H-M 'F -4 3 m'
_symmetry_Int_Tables_number 216
_symmetry_space_group_name_Hall 'F -4 2 3'
_cell_length_a 6.787
_cell_length_b 6.787
_cell_length_c 6.787
_cell_angle_alpha 90.00
_cell_angle_beta 90.00
_cell_angle_gamma 90.00
loop_
_atom_site_label
_atom_site_type_symbol
_atom_site_fract_x
_atom_site_fract_y
_atom_site_fract_z
_atom_site_occupancy
Ho1 Ho 0.000 0.000 0.000 1
Zr1 Zr 0.000 0.000 0.500 1
Co1 Co 0.250 0.250 0.750 1
Au1 Au 0.250 0.250 0.250 1
# Crystal system   cubic

=====

Number 1: total DFT energy (no corrections) -5.802 eV/atom, ΔH_f (0 K) -0.446 eV/atom, V 21.2 A^3/atom. Number 2: total DFT energy (no corrections) -6.214 eV/atom, ΔH_f (0 K) -0.336 eV/atom, V 19.5 A^3/atom.